Entry 1:
Computed, not measured: a relaxed structure of FeRhAu2 at the PBE level of DFT.

The excess energy over the best structure of this formula in the dataset comes out at 0.52 eV/f.u. Its theoretical density is 14.4 Mg/m³. For the magnetization, the calculation gives 4.06 μB per formula unit. The calculation puts the total energy at -5.419 eV/atom. The calculated volume is 255.8 Å³ per cell. The calculation puts the formation energy at 0.173 eV per atom.

It has space group F-43m (No. 216), with a = 6.348 Å, b = 6.348 Å, c = 6.348 Å, α = 90.00°, β = 90.00° and γ = 90.00°. The asymmetric unit holds Fe at (0.000, 0.000, 0.000), Rh at (0.250, 0.250, 0.250), Au at (0.000, 0.000, 0.500) and Au at (0.250, 0.250, 0.750).

---

Entry 2:
Computed, not measured: a relaxed structure of FeRhAu2 at the PBE level of DFT.

The excess energy over the best structure of this formula in the dataset comes out at 0.22 eV/f.u. Its theoretical density is 14.5 Mg/m³. For the magnetization, the calculation gives 3.67 μB per formula unit. The calculation puts the total energy at -5.493 eV/atom. The calculated volume is 190.4 Å³ per cell. The calculation puts the formation energy at 0.099 eV per atom.

It has space group R3m (No. 160, hexagonal axes), with a = 2.8174 Å, b = 2.8174 Å, c = 27.6911 Å, α = 90.00°, β = 90.00° and γ = 120.00°. The asymmetric unit holds Fe at (0.0000, 0.0000, 0.0000), Rh at (0.0000, 0.0000, 0.2616), Au at (0.0000, 0.0000, 0.5074) and Au at (0.0000, 0.0000, 0.7474).

---

> Among the records above, which one has the lowest excess energy over the best structure of this formula in the dataset?

number 2

---

> The highest formation energy belongs to which entry?

number 1